[1]
# ZnNiOs2

A PBEsol-optimized structure of ZnNiOs2 (SCAN, Alexandria via LeMat-Bulk).

## Properties
ρ = 16.1 g cm⁻³
M_tot = 0.000 μB per atom
E_form = 1.4 eV per formula unit
DOS(E_F) = 0.91 states/eV per atom
final energy = -43.02 eV per atom

a = 2.623 Å, b = 2.623 Å, c = 7.577 Å
α = 90.00°, β = 90.00°, γ = 90.00°
Element x y z (fractional)
Ni (0.500, 0.500, 0.500)
Os (0.000, 0.000, 0.735)
Os (0.000, 0.000, 0.265)
Zn (0.500, 0.500, 0.000)

[2]
# ReTcBr2

A PBEsol-optimized structure of ReTcBr2 (SCAN, Alexandria via LeMat-Bulk).

## Properties
ρ = 11.8 g cm⁻³
M_tot = 0.000 μB per atom
E_form (uncorrected) = 1.667 eV/atom
DOS(E_F) = 0.76 states/eV per atom
final energy = -34.60 eV per atom
distance to the lowest polymorph of the same formula = 997 meV/atom

a = 4.451 Å, b = 4.451 Å, c = 4.451 Å
α = 60.00°, β = 60.00°, γ = 60.00°
Element x y z (fractional)
Re (0.500, 0.500, 0.500)
Tc (0.000, 0.000, 0.000)
Br (0.750, 0.750, 0.750)
Br (0.250, 0.250, 0.250)

[3]
# Ba2TlRe

A PBEsol-optimized structure of Ba2TlRe (SCAN, Alexandria via LeMat-Bulk).

## Properties
ρ = 8.8 g cm⁻³
M_tot = 0.000 μB per atom
E_form = 3.7 eV per formula unit
DOS(E_F) = 1.00 states/eV per atom
final energy = -54.71 eV per atom
distance to the lowest polymorph of the same formula = 317 meV/atom

a = 3.176 Å, b = 4.577 Å, c = 9.249 Å
α = 94.67°, β = 90.00°, γ = 110.30°
Element x y z (fractional)
Re (0.000, 0.000, 0.500)
Tl (0.500, 0.000, 0.000)
Ba (0.746, 0.492, 0.713)
Ba (0.254, 0.508, 0.287)

[4]
# LiZn2Au

A PBEsol-optimized structure of LiZn2Au (SCAN, Alexandria via LeMat-Bulk).

## Properties
ρ = 9.8 g cm⁻³
M_tot = 0.000 μB per atom
E_form = -1.5 eV per formula unit
DOS(E_F) = 0.28 states/eV per atom
final energy = -25.03 eV per atom
distance to the lowest polymorph of the same formula = 67 meV/atom

a = 3.797 Å, b = 3.794 Å, c = 3.953 Å
α = 90.00°, β = 90.00°, γ = 90.00°
Element x y z (fractional)
Zn (0.000, 0.000, 0.000)
Zn (0.500, 0.500, 0.000)
Au (0.500, 0.000, 0.500)
Li (0.000, 0.500, 0.500)

[5]
# LaCrP4

A PBEsol-optimized structure of LaCrP4 (SCAN, Alexandria via LeMat-Bulk).

## Properties
ρ = 5.0 g cm⁻³
M_tot = 0.805 μB per atom
E_form = -0.2 eV per formula unit
DOS(E_F) = 0.36 states/eV per atom
final energy = -17.22 eV per atom

a = 5.276 Å, b = 5.276 Å, c = 5.276 Å
α = 60.00°, β = 60.00°, γ = 60.00°
Element x y z (fractional)
Cr (0.750, 0.750, 0.750)
La (0.000, 0.000, 0.000)
P (0.384, 0.384, 0.384)
P (0.384, 0.384, 0.849)
P (0.849, 0.384, 0.384)
P (0.384, 0.849, 0.384)

[6]
# Mn2IrPb

A PBEsol-optimized structure of Mn2IrPb (SCAN, Alexandria via LeMat-Bulk).

## Properties
ρ = 13.5 g cm⁻³
M_tot = 2.014 μB per atom
E_form = 0.1 eV per formula unit
DOS(E_F) = 0.75 states/eV per atom
final energy = -45.83 eV per atom

a = 3.948 Å, b = 3.956 Å, c = 4.882 Å
α = 113.90°, β = 113.85°, γ = 90.00°
Element x y z (fractional)
Ir (0.250, 0.750, 0.500)
Mn (0.000, 0.000, 0.000)
Mn (0.750, 0.250, 0.500)
Pb (0.500, 0.500, 0.000)

[7]
# Ir2NCl

A PBEsol-optimized structure of Ir2NCl (SCAN, Alexandria via LeMat-Bulk).

## Properties
ρ = 11.5 g cm⁻³
M_tot = 0.000 μB per atom
E_form (uncorrected) = 0.862 eV/atom
DOS(E_F) = 0.43 states/eV per atom
final energy = -39.01 eV per atom

a = 4.747 Å, b = 4.747 Å, c = 6.482 Å
α = 111.48°, β = 111.48°, γ = 90.00°
Element x y z (fractional)
N (0.750, 0.250, 0.500)
N (0.500, 0.500, 0.000)
Ir (0.774, 0.375, 0.250)
Ir (0.476, 0.875, 0.250)
Ir (0.625, 0.524, 0.750)
Ir (0.125, 0.226, 0.750)
Cl (0.250, 0.750, 0.500)
Cl (0.000, 0.000, 0.000)

[8]
# CeGa2Pd2

A PBEsol-optimized structure of CeGa2Pd2 (SCAN, Alexandria via LeMat-Bulk).

## Properties
ρ = 8.9 g cm⁻³
M_tot = 0.198 μB per atom
E_form = -4.3 eV per formula unit
DOS(E_F) = 0.99 states/eV per atom
final energy = -29.41 eV per atom

a = 4.179 Å, b = 4.179 Å, c = 10.465 Å
α = 90.00°, β = 90.00°, γ = 90.00°
Element x y z (fractional)
Ce (0.000, 0.500, 0.256)
Ce (0.500, 0.000, 0.744)
Ga (0.000, 0.000, 0.500)
Ga (0.500, 0.500, 0.500)
Ga (0.000, 0.500, 0.869)
Ga (0.500, 0.000, 0.131)
Pd (0.000, 0.000, 0.000)
Pd (0.500, 0.500, 0.000)
Pd (0.000, 0.500, 0.635)
Pd (0.500, 0.000, 0.365)

[9]
# BaMgIn3

A PBEsol-optimized structure of BaMgIn3 (SCAN, Alexandria via LeMat-Bulk).

## Properties
ρ = 5.9 g cm⁻³
M_tot = 0.000 μB per atom
E_form = -2.6 eV per formula unit
DOS(E_F) = 0.30 states/eV per atom
final energy = -29.45 eV per atom

a = 4.788 Å, b = 4.788 Å, c = 7.101 Å
α = 109.70°, β = 109.70°, γ = 90.00°
Element x y z (fractional)
Mg (0.250, 0.750, 0.500)
Ba (0.000, 0.000, 0.000)
In (0.613, 0.613, 0.227)
In (0.387, 0.387, 0.773)
In (0.750, 0.250, 0.500)

[10]
# SmSi

A PBEsol-optimized structure of SmSi (SCAN, Alexandria via LeMat-Bulk).

## Properties
ρ = 6.6 g cm⁻³
M_tot = 0.000 μB per atom
E_form (uncorrected) = -0.835 eV/atom
DOS(E_F) = 0.54 states/eV per atom
final energy = -28.06 eV per atom

a = 3.861 Å, b = 5.777 Å, c = 8.027 Å
α = 90.00°, β = 90.00°, γ = 90.00°
Element x y z (fractional)
Si (0.250, 0.125, 0.036)
Si (0.750, 0.875, 0.964)
Si (0.750, 0.625, 0.464)
Si (0.250, 0.375, 0.536)
Sm (0.250, 0.614, 0.179)
Sm (0.750, 0.386, 0.821)
Sm (0.750, 0.114, 0.321)
Sm (0.250, 0.886, 0.679)

[11]
# NaPt2I

A PBEsol-optimized structure of NaPt2I (SCAN, Alexandria via LeMat-Bulk).

## Properties
ρ = 12.3 g cm⁻³
M_tot = 0.000 μB per atom
E_form (uncorrected) = 0.408 eV/atom
DOS(E_F) = 0.64 states/eV per atom
final energy = -44.93 eV per atom

a = 4.692 Å, b = 4.692 Å, c = 4.692 Å
α = 60.00°, β = 60.00°, γ = 60.00°
Element x y z (fractional)
I (0.500, 0.500, 0.500)
Na (0.000, 0.000, 0.000)
Pt (0.250, 0.250, 0.250)
Pt (0.750, 0.750, 0.750)

[12]
# TcSbH3

A PBEsol-optimized structure of TcSbH3 (SCAN, Alexandria via LeMat-Bulk).

## Properties
ρ = 6.5 g cm⁻³
M_tot = 0.673 μB per atom
DOS(E_F) = 0.54 states/eV per atom
final energy = -15.15 eV per atom

a = 3.850 Å, b = 3.850 Å, c = 3.850 Å
α = 90.00°, β = 90.00°, γ = 90.00°
Element x y z (fractional)
Sb (0.000, 0.000, 0.000)
Tc (0.500, 0.500, 0.500)
H (0.000, 0.500, 0.000)
H (0.000, 0.000, 0.500)
H (0.500, 0.000, 0.000)

[13]
# Zr3Al5

A PBEsol-optimized structure of Zr3Al5 (SCAN, Alexandria via LeMat-Bulk).

## Properties
ρ = 4.7 g cm⁻³
M_tot = 0.000 μB per atom
E_form = -3.7 eV per formula unit
DOS(E_F) = 0.55 states/eV per atom
final energy = -16.82 eV per atom

a = 4.054 Å, b = 5.962 Å, c = 5.962 Å
α = 90.71°, β = 90.00°, γ = 90.00°
Element x y z (fractional)
Al (0.000, 0.000, 0.000)
Al (0.000, 0.500, 0.000)
Al (0.000, 0.000, 0.500)
Al (0.500, 0.743, 0.257)
Al (0.500, 0.257, 0.743)
Zr (0.000, 0.500, 0.500)
Zr (0.500, 0.764, 0.764)
Zr (0.500, 0.236, 0.236)

[14]
# SiNi2Te

A PBEsol-optimized structure of SiNi2Te (SCAN, Alexandria via LeMat-Bulk).

## Properties
ρ = 7.8 g cm⁻³
M_tot = 0.000 μB per atom
E_form (uncorrected) = 0.067 eV/atom
DOS(E_F) = 0.59 states/eV per atom
final energy = -19.84 eV per atom

a = 2.923 Å, b = 2.923 Å, c = 6.807 Å
α = 90.00°, β = 90.00°, γ = 90.00°
Element x y z (fractional)
Ni (0.000, 0.000, 0.817)
Ni (0.000, 0.000, 0.183)
Si (0.500, 0.500, 0.000)
Te (0.500, 0.500, 0.500)

[15]
# Li3GaRh

A PBEsol-optimized structure of Li3GaRh (SCAN, Alexandria via LeMat-Bulk).

## Properties
ρ = 3.5 g cm⁻³
M_tot = 0.000 μB per atom
E_form = 1.6 eV per formula unit
DOS(E_F) = 0.42 states/eV per atom
final energy = -11.13 eV per atom

a = 4.517 Å, b = 4.517 Å, c = 4.517 Å
α = 90.00°, β = 90.00°, γ = 90.00°
Element x y z (fractional)
Rh (0.000, 0.000, 0.000)
Ga (0.500, 0.500, 0.500)
Li (0.000, 0.500, 0.000)
Li (0.000, 0.000, 0.500)
Li (0.500, 0.000, 0.000)

[16]
# LiTlAu2

A PBEsol-optimized structure of LiTlAu2 (SCAN, Alexandria via LeMat-Bulk).

## Properties
ρ = 14.1 g cm⁻³
M_tot = 0.000 μB per atom
E_form = -1.2 eV per formula unit
DOS(E_F) = 0.30 states/eV per atom
final energy = -53.55 eV per atom

a = 4.168 Å, b = 4.168 Å, c = 5.062 Å
α = 114.38°, β = 114.31°, γ = 90.00°
Element x y z (fractional)
Tl (0.750, 0.750, 0.500)
Au (0.000, 0.500, 0.000)
Au (0.250, 0.250, 0.500)
Li (0.500, 0.000, 0.000)

[17]
# TlIr2Cl

A PBEsol-optimized structure of TlIr2Cl (SCAN, Alexandria via LeMat-Bulk).

## Properties
ρ = 14.3 g cm⁻³
M_tot = 0.000 μB per atom
E_form (uncorrected) = 0.769 eV/atom
DOS(E_F) = 0.96 states/eV per atom
final energy = -54.87 eV per atom
distance to the lowest polymorph of the same formula = 458 meV/atom

a = 2.839 Å, b = 4.228 Å, c = 6.556 Å
α = 108.81°, β = 102.50°, γ = 90.00°
Element x y z (fractional)
Tl (0.542, 0.542, 0.085)
Ir (0.943, 0.943, 0.886)
Ir (0.261, 0.761, 0.521)
Cl (0.754, 0.254, 0.508)

[18]
# Li3CuS2

A PBEsol-optimized structure of Li3CuS2 (SCAN, Alexandria via LeMat-Bulk).

## Properties
ρ = 2.6 g cm⁻³
M_tot = 0.000 μB per atom
E_form (uncorrected) = -1.116 eV/atom
DOS(E_F) = 0.00 states/eV per atom
final energy = -8.05 eV per atom

a = 6.338 Å, b = 6.338 Å, c = 6.338 Å
α = 62.32°, β = 62.32°, γ = 62.32°
Element x y z (fractional)
Li (0.974, 0.250, 0.526)
Li (0.474, 0.026, 0.750)
Li (0.750, 0.474, 0.026)
Li (0.250, 0.526, 0.974)
Li (0.526, 0.974, 0.250)
Li (0.026, 0.750, 0.474)
Cu (0.000, 0.000, 0.000)
Cu (0.500, 0.500, 0.500)
S (0.362, 0.362, 0.362)
S (0.638, 0.638, 0.638)
S (0.138, 0.138, 0.138)
S (0.862, 0.862, 0.862)

[19]
# SrIn3Hg

A PBEsol-optimized structure of SrIn3Hg (SCAN, Alexandria via LeMat-Bulk).

## Properties
ρ = 7.8 g cm⁻³
M_tot = 0.000 μB per atom
E_form = -2.3 eV per formula unit
DOS(E_F) = 0.20 states/eV per atom
final energy = -38.59 eV per atom

a = 4.650 Å, b = 4.650 Å, c = 7.060 Å
α = 109.23°, β = 109.23°, γ = 90.00°
Element x y z (fractional)
Sr (0.994, 0.994, 0.988)
Hg (0.391, 0.391, 0.783)
In (0.253, 0.753, 0.505)
In (0.753, 0.253, 0.505)
In (0.610, 0.610, 0.219)

[20]
# InAuO2

A PBEsol-optimized structure of InAuO2 (SCAN, Alexandria via LeMat-Bulk).

## Properties
ρ = 9.7 g cm⁻³
M_tot = 0.000 μB per atom
E_form (uncorrected) = -1.136 eV/atom
DOS(E_F) = 0.20 states/eV per atom
final energy = -29.89 eV per atom

a = 3.312 Å, b = 3.312 Å, c = 12.339 Å
α = 90.00°, β = 90.00°, γ = 120.00°
Element x y z (fractional)
Au (0.667, 0.333, 0.750)
Au (0.333, 0.667, 0.250)
O (0.333, 0.667, 0.085)
O (0.667, 0.333, 0.585)
O (0.333, 0.667, 0.415)
O (0.667, 0.333, 0.915)
In (0.000, 0.000, 0.500)
In (0.000, 0.000, 0.000)

[21]
# RbNa3Li12Si4O16

A PBEsol-optimized structure of RbNa3Li12Si4O16 (SCAN, Alexandria via LeMat-Bulk).

## Properties
ρ = 2.7 g cm⁻³
M_tot = 0.000 μB per atom
E_form (uncorrected) = -2.542 eV/atom
DOS(E_F) = 0.00 states/eV per atom
final energy = -8.15 eV per atom

a = 6.290 Å, b = 8.296 Å, c = 8.296 Å
α = 81.74°, β = 67.72°, γ = 67.72°
Element x y z (fractional)
Rb (0.000, 0.000, 0.000)
Na (0.250, 0.500, 0.500)
Na (0.750, 0.500, 0.500)
Na (0.500, 0.000, 0.000)
Li (0.716, 0.211, 0.358)
Li (0.927, 0.358, 0.789)
Li (0.284, 0.789, 0.642)
Li (0.073, 0.642, 0.211)
Li (0.851, 0.127, 0.659)
Li (0.510, 0.341, 0.127)
Li (0.149, 0.873, 0.341)
Li (0.637, 0.873, 0.341)
Li (0.363, 0.127, 0.659)
Li (0.022, 0.341, 0.127)
Li (0.490, 0.659, 0.873)
Li (0.978, 0.659, 0.873)
Si (0.425, 0.354, 0.795)
Si (0.780, 0.795, 0.646)
Si (0.220, 0.205, 0.354)
Si (0.575, 0.646, 0.205)
O (0.801, 0.721, 0.112)
O (0.522, 0.112, 0.279)
O (0.634, 0.279, 0.888)
O (0.913, 0.888, 0.721)
O (0.478, 0.888, 0.721)
O (0.199, 0.279, 0.888)
O (0.087, 0.112, 0.279)
O (0.366, 0.721, 0.112)
O (0.839, 0.595, 0.727)
O (0.566, 0.273, 0.595)
O (0.434, 0.727, 0.405)
O (0.161, 0.405, 0.273)
O (0.326, 0.568, 0.781)
O (0.107, 0.219, 0.568)
O (0.893, 0.781, 0.432)
O (0.674, 0.432, 0.219)

[22]
# SrBeCo2

A PBEsol-optimized structure of SrBeCo2 (SCAN, Alexandria via LeMat-Bulk).

## Properties
ρ = 6.0 g cm⁻³
M_tot = 0.875 μB per atom
E_form = 1.6 eV per formula unit
DOS(E_F) = 0.47 states/eV per atom
final energy = -14.90 eV per atom

a = 2.951 Å, b = 2.953 Å, c = 6.804 Å
α = 90.00°, β = 90.00°, γ = 90.00°
Element x y z (fractional)
Sr (0.000, 0.000, 0.497)
Co (0.000, 0.000, 0.992)
Co (0.500, 0.500, 0.166)
Be (0.500, 0.500, 0.844)

[23]
# Ni2HgCl

A PBEsol-optimized structure of Ni2HgCl (SCAN, Alexandria via LeMat-Bulk).

## Properties
ρ = 8.8 g cm⁻³
M_tot = 0.411 μB per atom
E_form (uncorrected) = 0.201 eV/atom
DOS(E_F) = 0.56 states/eV per atom
final energy = -26.92 eV per atom
distance to the lowest polymorph of the same formula = 0 meV/atom

a = 2.932 Å, b = 4.302 Å, c = 5.902 Å
α = 111.37°, β = 104.38°, γ = 90.00°
Element x y z (fractional)
Cl (0.437, 0.437, 0.873)
Hg (0.211, 0.711, 0.422)
Ni (0.085, 0.085, 0.169)
Ni (0.768, 0.268, 0.535)

[24]
# Li8BiS6

A PBEsol-optimized structure of Li8BiS6 (SCAN, Alexandria via LeMat-Bulk).

## Properties
ρ = 3.0 g cm⁻³
M_tot = 0.000 μB per atom
E_form (uncorrected) = -1.182 eV/atom
DOS(E_F) = 0.41 states/eV per atom
final energy = -11.55 eV per atom
distance to the lowest polymorph of the same formula = 0 meV/atom

a = 6.828 Å, b = 6.828 Å, c = 7.459 Å
α = 62.76°, β = 62.76°, γ = 60.00°
Element x y z (fractional)
S (0.597, 0.250, 0.246)
S (0.092, 0.403, 0.754)
S (0.750, 0.092, 0.754)
S (0.250, 0.908, 0.246)
S (0.908, 0.597, 0.246)
S (0.403, 0.750, 0.754)
Bi (0.000, 0.000, 0.000)
Li (0.470, 0.109, 0.634)
Li (0.214, 0.530, 0.366)
Li (0.891, 0.214, 0.366)
Li (0.341, 0.341, 0.978)
Li (0.659, 0.659, 0.022)
Li (0.109, 0.786, 0.634)
Li (0.786, 0.470, 0.634)
Li (0.530, 0.891, 0.366)

[25]
# Tl2PbAu

A PBEsol-optimized structure of Tl2PbAu (SCAN, Alexandria via LeMat-Bulk).

## Properties
ρ = 13.1 g cm⁻³
M_tot = 0.000 μB per atom
E_form = 0.1 eV per formula unit
DOS(E_F) = 0.51 states/eV per atom
final energy = -72.39 eV per atom

a = 3.720 Å, b = 5.259 Å, c = 6.170 Å
α = 115.23°, β = 107.55°, γ = 90.00°
Element x y z (fractional)
Pb (0.217, 0.717, 0.433)
Tl (0.999, 0.999, 0.999)
Tl (0.783, 0.283, 0.566)
Au (0.501, 0.501, 0.002)